<a>
The following is a PBE-GGA calculation of a relaxed structure of NaSr, from the Alexandria database.

Cell lengths 7.2007, 7.3498, 13.9295 Å; angles 90.00, 90.00, 90.00 degrees
Last column: nearest neighbours and their distance in Å.
Space group P2_12_12_1 (No. 19)
Unique sites:
Na  0.1272  0.1253  0.2249 [4 per cell]  2 Na 3.38-3.40, 3 Sr 3.77-3.79
Na  0.1559  0.3902  0.4240 [4 per cell]  2 Na 3.38-3.40, 2 Sr 3.71-3.75
Sr  0.1259  0.3775  0.6930 [4 per cell]  6 Na 3.75-4.12
Sr  0.1300  0.8989  0.4850 [4 per cell]  6 Na 3.71-4.00

Output
Volume = 46.08 Å³ per atom

=====

<b>
The following is a PBE-GGA calculation of a relaxed structure of NaSr, from the Alexandria database.

Cell lengths 7.0540, 11.8625, 18.6003 Å; angles 90.00, 90.00, 90.00 degrees
Last column: nearest neighbours and their distance in Å.
Space group Fddd (No. 70, origin choice 2)
Unique sites:
Na  0.1250  0.1250  0.0431 [16 per cell]  1 Na 3.05
Sr  0.1250  0.2903  0.6250 [16 per cell]  2 Na 3.73, 3 Sr 3.92-4.06

Output
Volume = 48.64 Å³ per atom

=====

<c>
The following is a PBE-GGA calculation of a relaxed structure of NaSr, from the Alexandria database.

Cell lengths 7.3253, 7.3253, 7.2971 Å; angles 90.00, 90.00, 90.00 degrees
Last column: nearest neighbours and their distance in Å.
Space group P4_2/mnm (No. 136)
Unique sites:
Na  0.1852  0.1852  0.0000 [4 per cell]  6 Sr 3.65-3.86, 1 Na 3.84
Sr  0.1985  0.1985  0.5000 [4 per cell]  6 Na 3.65-3.86

Output
Volume = 48.94 Å³ per atom

=====

Most stable: <a>. Least stable: <c>.

=====

<a>
The following is a PBE-GGA calculation of a relaxed structure of NaSr5, from the Alexandria database.

Cell lengths 6.7549, 20.1985, 4.5697 Å; angles 90.00, 90.00, 90.00 degrees
Last column: nearest neighbours and their distance in Å.
Space group Cmmm (No. 65)
Unique sites:
Na  0.0000  0.0000  0.0000 [2 per cell]  8 Sr 3.86-4.08
Sr  0.0000  0.1542  0.5000 [4 per cell]  2 Na 3.86, 6 Sr 4.10-4.14
Sr  0.0000  0.3249  0.0000 [4 per cell]  12 Sr 4.10-4.57
Sr  0.0000  0.5000  0.5000 [2 per cell]  4 Na 4.08, 4 Sr 4.21

Output
Volume = 51.96 Å³ per atom

=====

<b>
The following is a PBE-GGA calculation of a relaxed structure of NaSr5, from the Alexandria database.

Cell lengths 4.5149, 4.5149, 15.2515 Å; angles 90.00, 90.00, 90.00 degrees
Last column: nearest neighbours and their distance in Å.
Space group P4/mmm (No. 123)
Unique sites:
Na  0.0000  0.0000  0.0000 [1 per cell]  8 Sr 3.90
Sr  0.0000  0.0000  0.3255 [2 per cell]  12 Sr 4.16-4.51
Sr  0.5000  0.5000  0.1468 [2 per cell]  4 Na 3.90, 4 Sr 4.20
Sr  0.5000  0.5000  0.5000 [1 per cell]  12 Sr 4.16-4.51

Output
Volume = 51.82 Å³ per atom

=====

Most stable: <b>. Least stable: <a>.

=====

<a>
The following is a PBE-GGA calculation of a relaxed structure of Na4Sr, from the Alexandria database.

Cell lengths 6.8761, 6.8761, 6.8761 Å; angles 90.00, 90.00, 90.00 degrees
Last column: nearest neighbours and their distance in Å.
Space group Pm-3m (No. 221)
Unique sites:
Na  0.0000  0.0000  0.0000 [1 per cell]  12 Na 4.86
Na  0.0000  0.5000  0.5000 [3 per cell]  2 Sr 3.44
Sr  0.5000  0.5000  0.5000 [1 per cell]  6 Na 3.44

Output
Volume = 65.02 Å³ per atom

=====

<b>
The following is a PBE-GGA calculation of a relaxed structure of Na4Sr, from the Alexandria database.

Cell lengths 7.3885, 7.4066, 15.1235 Å; angles 90.00, 90.00, 90.00 degrees
Last column: nearest neighbours and their distance in Å.
Space group Fmmm (No. 69)
Unique sites:
Na  0.0000  0.0000  0.1049 [8 per cell]  5 Na 3.17-3.41
Na  0.2500  0.2500  0.2500 [8 per cell]  8 Na 3.41-3.70
Sr  0.0000  0.0000  0.5000 [4 per cell]  8 Na 4.02-4.03

Output
Volume = 41.38 Å³ per atom

=====

Most stable: <b>. Least stable: <a>.